Entry 1:
## Na2AlSbTe4 (PBE-GGA)

Data for Na2AlSbTe4 after structural relaxation.

Cell lengths 10.3310, 8.6871, 6.7431 Å; angles 90.00, 90.00, 90.00 degrees
Closest atoms and distances in Å follow each position.
Space group Pmn2_1 (No. 31)
Asymmetric unit:
1 Na 0.2451 0.1671 0.0000 x4  4 Te 3.10-3.25
2 Al 0.0000 0.3516 0.5574 x2  4 Te 2.63-2.66
3 Sb 0.0000 0.6935 0.0371 x2  2 Te 2.80-2.86
4 Te 0.0000 0.3787 0.9509 x2  1 Al 2.66, 1 Sb 2.80
5 Te 0.0000 0.6478 0.4567 x2  1 Al 2.66, 1 Sb 2.86
6 Te 0.2117 0.1960 0.4777 x4  1 Al 2.63

***

Entry 2:
## NaAlSbTe2 (PBE-GGA)

Data for NaAlSbTe2 after structural relaxation.

Cell lengths 5.6128, 5.6128, 5.3721 Å; angles 90.00, 90.00, 90.00 degrees
Closest atoms and distances in Å follow each position.
Space group P4/mmm (No. 123)
Asymmetric unit:
1 Na 0.0000 0.0000 0.0000 x1  2 Sb 2.69, 4 Te 2.81
2 Al 0.5000 0.5000 0.5000 x1  8 Te 3.88, 4 Sb 3.97
3 Sb 0.0000 0.0000 0.5000 x1  2 Na 2.69
4 Te 0.0000 0.5000 0.0000 x2  2 Na 2.81

Relative energy among the computed polymorphs in eV per atom: 0.6705

***

Entry 3:
## NaAlSbTe2 (PBE-GGA)

Data for NaAlSbTe2 after structural relaxation.

Cell lengths 5.5640, 5.5640, 5.2287 Å; angles 90.00, 90.00, 90.00 degrees
Closest atoms and distances in Å follow each position.
Space group P4/mmm (No. 123)
Asymmetric unit:
1 Na 0.0000 0.0000 0.0000 x1  8 Te 3.82, 4 Sb 3.93
2 Al 0.5000 0.5000 0.5000 x1  2 Sb 2.61, 4 Te 2.78
3 Sb 0.5000 0.5000 0.0000 x1  2 Al 2.61
4 Te 0.0000 0.5000 0.5000 x2  2 Al 2.78

Relative energy among the computed polymorphs in eV per atom: 0.0000

***

Number 1: formation energy without anion corrections -0.49 eV/atom, volume 605 Å³ per cell. Number 2: formation energy without anion corrections 0.68 eV/atom, volume 169 Å³ per cell. Number 3: formation energy without anion corrections 0.01 eV/atom, volume 162 Å³ per cell.